{
  "formula": "Li2TiMn2NiO8",
  "functional": "PBE+U",
  "state": "relaxed",
  "lattice_angstrom": [[5.8592, 0.0000, 0.0000], [-2.9296, 5.1062, -0.0020], [0.0000, -3.3801, 4.8896]],
  "species": ["Li", "Li", "Ti", "Mn", "Mn", "Ni", "O", "O", "O", "O", "O", "O", "O", "O"],
  "fractional_positions": [[0.1152, 0.2304, 0.3571], [0.8848, 0.7696, 0.6429], [0.5000, 0.0000, 0.0000], [0.0000, 0.5000, 0.0000], [0.5000, 0.5000, 0.0000], [0.5000, 0.0000, 0.5000], [0.7408, 0.4816, 0.2140], [0.2592, 0.5184, 0.7860], [0.7452, 0.4904, 0.7814], [0.2548, 0.5096, 0.2186], [0.2891, 0.0409, 0.7836], [0.7518, 0.0409, 0.7836], [0.7109, 0.9591, 0.2164], [0.2482, 0.9591, 0.2164]],
  "dft_energy_ry_per_atom": -0.5001,
  "crystal_system": "monoclinic",
  "spacegroup": "C2/m (12)"
}